No. 1
Compound: Hf3InW
Source: Alexandria
Functional: PBE
Structure: relaxed

## Properties
The density is 10.56 g cm⁻³. The value obtained for the density of states at the Fermi level is 1.958 states/eV/atom. The space group is Pm-3m, No. 221. Its calculated formation energy is 9.4 eV/f.u.

Cell and atoms, written as POSCAR:
```
Hf3InW
1.0
5.0805 0.0000 0.0000
0.0000 5.0805 0.0000
0.0000 0.0000 5.0805
Hf In W
3 1 1
Cartesian
0.0000 0.0000 2.5402
0.0000 2.5402 0.0000
2.5402 0.0000 0.0000
0.0000 0.0000 0.0000
2.5402 2.5402 2.5402
```

***

No. 2
Compound: Hf2InW
Source: Alexandria
Functional: PBE
Structure: relaxed

## Properties
The density is 13.46 g cm⁻³. The value obtained for the density of states at the Fermi level is 0.652 states/eV/atom. The space group is P4/mmm, No. 123. Its calculated formation energy is -0.5 eV/f.u.

Cell and atoms, written as POSCAR:
```
Hf2InW
1.0
3.4483 0.0000 0.0000
0.0000 3.4483 0.0000
0.0000 0.0000 6.8044
Hf In W
2 1 1
Cartesian
0.0000 0.0000 1.5281
0.0000 0.0000 5.2763
1.7241 1.7241 3.4022
1.7241 1.7241 0.0000
```

***

No. 3
Compound: Hf3InW
Source: Alexandria
Functional: PBE
Structure: relaxed

## Properties
The density is 10.66 g cm⁻³. The value obtained for the density of states at the Fermi level is 2.080 states/eV/atom. The space group is Pm-3m, No. 221. Its calculated formation energy is 4.2 eV/f.u.

Cell and atoms, written as POSCAR:
```
Hf3InW
1.0
5.0646 0.0000 0.0000
0.0000 5.0646 0.0000
0.0000 0.0000 5.0646
Hf In W
3 1 1
Cartesian
0.0000 0.0000 2.5323
0.0000 2.5323 0.0000
2.5323 0.0000 0.0000
2.5323 2.5323 2.5323
0.0000 0.0000 0.0000
```

***

No. 4
Compound: Y2HfIn
Source: Alexandria
Functional: PBE
Structure: relaxed

## Properties
The density is 6.96 g cm⁻³. The value obtained for the density of states at the Fermi level is 0.956 states/eV/atom. The space group is I-42d, No. 122. Its calculated formation energy is 1.3 eV/f.u.

Cell and atoms, written as POSCAR:
```
Y2HfIn
1.0
-4.2212 4.2212 3.1536
4.2212 -4.2212 3.1536
4.2212 4.2212 -3.1536
Y Hf In
4 2 2
Cartesian
6.3319 2.0036 -0.7884
2.0036 2.1106 0.7884
-2.1106 2.2177 2.3652
2.2177 2.1106 3.9420
4.2212 0.0000 1.5768
0.0000 0.0000 3.1536
0.0000 0.0000 0.0000
0.0000 4.2212 1.5768
```

***

No. 5
Compound: Y2HfIn
Source: Alexandria
Functional: PBE
Structure: relaxed

## Properties
The density is 7.30 g cm⁻³. The value obtained for the density of states at the Fermi level is 0.917 states/eV/atom. The space group is P4/mmm, No. 123. Its calculated formation energy is -0.6 eV/f.u.

Cell and atoms, written as POSCAR:
```
Y2HfIn
1.0
3.4492 0.0000 0.0000
0.0000 3.4492 0.0000
0.0000 0.0000 9.0051
Y Hf In
2 1 1
Cartesian
0.0000 0.0000 2.2180
0.0000 0.0000 6.7870
1.7246 1.7246 4.5025
1.7246 1.7246 0.0000
```

***

No. 6
Compound: YHfIn
Source: Alexandria
Functional: PBE
Structure: relaxed

## Properties
The density is 8.05 g cm⁻³. The value obtained for the density of states at the Fermi level is 0.894 states/eV/atom. The space group is P4/nmm, No. 129. Its calculated formation energy is -0.7 eV/f.u.

Cell and atoms, written as POSCAR:
```
YHfIn
1.0
4.3859 0.0000 0.0000
0.0000 4.3859 0.0000
0.0000 0.0000 8.1957
Y Hf In
2 2 2
Cartesian
1.0965 1.0965 1.3316
3.2894 3.2894 6.8641
1.0965 3.2894 4.0978
3.2894 1.0965 4.0978
1.0965 1.0965 6.2587
3.2894 3.2894 1.9370
```

***

No. 7
Compound: YHfIn2
Source: Alexandria
Functional: PBE
Structure: relaxed

## Properties
The density is 8.61 g cm⁻³. The value obtained for the density of states at the Fermi level is 0.928 states/eV/atom. The space group is P4/mmm, No. 123. Its calculated formation energy is -0.9 eV/f.u.

Cell and atoms, written as POSCAR:
```
YHfIn2
1.0
4.6728 0.0000 0.0000
0.0000 4.6728 0.0000
0.0000 0.0000 4.3896
Y Hf In
1 1 2
Cartesian
0.0000 0.0000 0.0000
2.3364 2.3364 0.0000
0.0000 2.3364 2.1948
2.3364 0.0000 2.1948
```

***

No. 8
Compound: YHf2In2
Source: Alexandria
Functional: PBE
Structure: relaxed

## Properties
The density is 9.29 g cm⁻³. The value obtained for the density of states at the Fermi level is 0.936 states/eV/atom. The space group is P4/mbm, No. 127. Its calculated formation energy is -0.5 eV/f.u.

Cell and atoms, written as POSCAR:
```
YHf2In2
1.0
8.2934 0.0000 0.0000
0.0000 8.2934 0.0000
0.0000 0.0000 3.5114
Y Hf In
2 4 4
Cartesian
0.0000 0.0000 0.0000
4.1467 4.1467 0.0000
1.4426 2.7041 1.7557
2.7041 6.8508 1.7557
5.5893 1.4426 1.7557
6.8508 5.5893 1.7557
1.0440 5.1907 0.0000
3.1027 1.0440 0.0000
5.1907 7.2495 0.0000
7.2495 3.1027 0.0000
```

***

No. 9
Compound: YHfIn
Source: Alexandria
Functional: PBE
Structure: relaxed

## Properties
The density is 8.40 g cm⁻³. The value obtained for the density of states at the Fermi level is 0.811 states/eV/atom. The space group is I4mm, No. 107. Its calculated formation energy is -0.5 eV/f.u.

Cell and atoms, written as POSCAR:
```
YHfIn
1.0
-1.7024 1.7024 6.5194
1.7024 -1.7024 6.5194
1.7024 1.7024 -6.5194
Y Hf In
1 1 1
Cartesian
0.0000 0.0000 0.0000
0.0000 0.0000 4.2571
0.0000 0.0000 8.7883
```

***

No. 10
Compound: Y2Hf2In
Source: Alexandria
Functional: PBE
Structure: relaxed

## Properties
The density is 8.02 g cm⁻³. The value obtained for the density of states at the Fermi level is 0.859 states/eV/atom. The space group is P4/mbm, No. 127. Its calculated formation energy is 0.3 eV/f.u.

Cell and atoms, written as POSCAR:
```
Y2Hf2In
1.0
7.6538 0.0000 0.0000
0.0000 7.6538 0.0000
0.0000 0.0000 4.5911
Y Hf In
4 4 2
Cartesian
1.2175 2.6094 0.0000
2.6094 6.4362 0.0000
5.0444 1.2175 0.0000
6.4362 5.0444 0.0000
1.0386 4.8655 2.2955
2.7883 1.0386 2.2955
4.8655 6.6152 2.2955
6.6152 2.7883 2.2955
0.0000 0.0000 2.2955
3.8269 3.8269 2.2955
```

***

No. 11
Compound: YHfIn2
Source: Alexandria
Functional: PBE
Structure: relaxed

## Properties
The density is 8.55 g cm⁻³. The value obtained for the density of states at the Fermi level is 0.836 states/eV/atom. The space group is P4/mmm, No. 123. Its calculated formation energy is -0.8 eV/f.u.

Cell and atoms, written as POSCAR:
```
YHfIn2
1.0
3.7945 0.0000 0.0000
0.0000 3.7945 0.0000
0.0000 0.0000 6.7070
Y Hf In
1 1 2
Cartesian
0.0000 0.0000 0.0000
0.0000 0.0000 3.3535
1.8972 1.8972 1.8084
1.8972 1.8972 4.8986
```

***

No. 12
Compound: Y4HfIn5
Source: Alexandria
Functional: PBE
Structure: relaxed

## Properties
The density is 7.16 g cm⁻³. The value obtained for the density of states at the Fermi level is 0.703 states/eV/atom. The space group is P4/mmm, No. 123. Its calculated formation energy is -3.8 eV/f.u.

Cell and atoms, written as POSCAR:
```
Y4HfIn5
1.0
3.7656 0.0000 0.0000
0.0000 3.7656 0.0000
0.0000 0.0000 18.1236
Y Hf In
4 1 5
Cartesian
0.0000 0.0000 1.8897
0.0000 0.0000 5.6445
0.0000 0.0000 12.4791
0.0000 0.0000 16.2338
0.0000 0.0000 9.0618
1.8828 1.8828 0.0000
1.8828 1.8828 3.7581
1.8828 1.8828 7.4853
1.8828 1.8828 10.6382
1.8828 1.8828 14.3655
```

***

No. 13
Compound: Y2HfIn2
Source: Alexandria
Functional: PBE
Structure: relaxed

## Properties
The density is 7.24 g cm⁻³. The value obtained for the density of states at the Fermi level is 0.749 states/eV/atom. The space group is P4/mbm, No. 127. Its calculated formation energy is -1.2 eV/f.u.

Cell and atoms, written as POSCAR:
```
Y2HfIn2
1.0
7.7602 0.0000 0.0000
0.0000 7.7602 0.0000
0.0000 0.0000 4.4641
Y Hf In
4 2 4
Cartesian
1.3522 2.5279 0.0000
2.5279 6.4081 0.0000
5.2323 1.3522 0.0000
6.4081 5.2323 0.0000
0.0000 0.0000 2.2320
3.8801 3.8801 2.2320
1.0210 4.9011 2.2320
2.8591 1.0210 2.2320
4.9011 6.7393 2.2320
6.7393 2.8591 2.2320
```

***

No. 14
Compound: Y2HfIn
Source: Alexandria
Functional: PBE
Structure: relaxed

## Properties
The density is 7.55 g cm⁻³. The value obtained for the density of states at the Fermi level is 1.016 states/eV/atom. The space group is P4/mmm, No. 123. Its calculated formation energy is -0.5 eV/f.u.

Cell and atoms, written as POSCAR:
```
Y2HfIn
1.0
4.7060 0.0000 0.0000
0.0000 4.7060 0.0000
0.0000 0.0000 4.6797
Y Hf In
2 1 1
Cartesian
0.0000 2.3530 0.0000
2.3530 0.0000 0.0000
0.0000 0.0000 2.3399
2.3530 2.3530 2.3399
```

***

No. 15
Compound: YHf2In2
Source: Alexandria
Functional: PBE
Structure: relaxed

## Properties
The density is 9.27 g cm⁻³. The value obtained for the density of states at the Fermi level is 1.063 states/eV/atom. The space group is P4/mbm, No. 127. Its calculated formation energy is -0.2 eV/f.u.

Cell and atoms, written as POSCAR:
```
YHf2In2
1.0
8.7691 0.0000 0.0000
0.0000 8.7691 0.0000
0.0000 0.0000 3.1483
Y Hf In
2 4 4
Cartesian
0.0000 0.0000 0.0000
4.3846 4.3846 0.0000
1.0647 3.3199 0.0000
3.3199 7.7044 0.0000
5.4492 1.0647 0.0000
7.7044 5.4492 0.0000
1.5290 5.9136 1.5741
2.8555 1.5290 1.5741
5.9136 7.2401 1.5741
7.2401 2.8555 1.5741
```

***

No. 16
Compound: YHfIn3
Source: Alexandria
Functional: PBE
Structure: relaxed

## Properties
The density is 6.44 g cm⁻³. The value obtained for the density of states at the Fermi level is 0.341 states/eV/atom. The space group is Pm-3m, No. 221. Its calculated formation energy is 1.8 eV/f.u.

Cell and atoms, written as POSCAR:
```
YHfIn3
1.0
5.4034 0.0000 0.0000
0.0000 5.4034 0.0000
0.0000 0.0000 5.4034
Y Hf In
1 1 3
Cartesian
0.0000 0.0000 0.0000
2.7017 2.7017 2.7017
0.0000 2.7017 2.7017
2.7017 0.0000 2.7017
2.7017 2.7017 0.0000
```

***

No. 17
Compound: Y2HfIn
Source: Alexandria
Functional: PBE
Structure: relaxed

## Properties
The density is 7.05 g cm⁻³. The value obtained for the density of states at the Fermi level is 1.479 states/eV/atom. The space group is R-3m, No. 166. Its calculated formation energy is 1.0 eV/f.u.

Cell and atoms, written as POSCAR:
```
Y2HfIn
1.0
1.6500 0.9526 11.7581
-1.6500 0.9526 11.7581
0.0000 -1.9053 11.7581
Y Hf In
2 1 1
Cartesian
0.0000 0.0000 3.1976
0.0000 0.0000 32.0766
0.0000 0.0000 0.0000
0.0000 0.0000 17.6371
```

***

No. 18
Compound: YHfIn2
Source: Alexandria
Functional: PBE
Structure: relaxed

## Properties
The density is 7.81 g cm⁻³. The value obtained for the density of states at the Fermi level is 0.987 states/eV/atom. The space group is I-42d, No. 122. Its calculated formation energy is 0.4 eV/f.u.

Cell and atoms, written as POSCAR:
```
YHfIn2
1.0
-4.0941 4.0941 3.1524
4.0941 -4.0941 3.1524
4.0941 4.0941 -3.1524
Y Hf In
2 2 4
Cartesian
0.0000 0.0000 0.0000
0.0000 4.0941 1.5762
4.0941 0.0000 1.5762
0.0000 0.0000 3.1524
2.0471 -1.9147 2.3643
2.1794 2.0471 0.7881
2.0471 6.0089 -0.7881
1.9147 2.0471 3.9405
```

***

No. 19
Compound: Hf6ZnIn
Source: Alexandria
Functional: PBE
Structure: relaxed

## Properties
The density is 12.44 g cm⁻³. The value obtained for the density of states at the Fermi level is 0.747 states/eV/atom. The space group is P4/mmm, No. 123. Its calculated formation energy is -0.9 eV/f.u.

Cell and atoms, written as POSCAR:
```
Hf6ZnIn
1.0
4.3777 0.0000 0.0000
0.0000 4.3777 0.0000
0.0000 0.0000 8.7181
Hf Zn In
6 1 1
Cartesian
0.0000 0.0000 0.0000
0.0000 0.0000 4.3590
0.0000 2.1888 2.1179
0.0000 2.1888 6.6002
2.1888 0.0000 2.1179
2.1888 0.0000 6.6002
2.1888 2.1888 0.0000
2.1888 2.1888 4.3590
```

***

No. 20
Compound: HfZnIn2
Source: Alexandria
Functional: PBE
Structure: relaxed

## Properties
The density is 8.93 g cm⁻³. The value obtained for the density of states at the Fermi level is 0.421 states/eV/atom. The space group is I-42d, No. 122. Its calculated formation energy is 0.7 eV/f.u.

Cell and atoms, written as POSCAR:
```
HfZnIn2
1.0
-3.8583 3.8583 2.9564
3.8583 -3.8583 2.9564
3.8583 3.8583 -2.9564
Hf Zn In
2 2 4
Cartesian
0.0000 0.0000 0.0000
0.0000 3.8583 1.4782
3.8583 0.0000 1.4782
0.0000 0.0000 2.9564
1.9291 -1.6596 2.2173
2.1987 1.9291 0.7391
1.9291 5.5178 -0.7391
1.6596 1.9291 3.6955
```